Density functional theory data (PBE) for an optimized crystal structure of HfMgIn2Bi.

Summary:
**ρ**: 6221 kg/m³
**VASP energy**: -3.42 eV/atom
**Energy relative to the elements**: 74 kJ/mol of atoms
**Crystal system**: tetragonal

Unit cell a=5.567 b=5.524 c=5.567 alpha=90.00 beta=90.00 gamma=90.00
Fractional coordinates of all 5 atoms:
Hf1 0.000 0.000 0.000
In1 0.500 0.000 0.000
In2 0.000 0.000 0.500
Bi1 0.500 0.500 0.500
Mg1 0.000 0.500 0.000